# Na2HoZrS4

Na2HoZrS4 after structural relaxation (PBE, Alexandria).

Calculated values
energy: -0.2086 hartree per atom

Geometry as CIF:
```
data_Na2HoZrS4
_chemical_formula_sum 'Na2 Ho1 Zr1 S4'
_symmetry_space_group_name_H-M 'P 1 2/m 1'
_symmetry_Int_Tables_number 10
_cell_length_a 6.658
_cell_length_b 3.810
_cell_length_c 7.088
_cell_angle_alpha 90.00
_cell_angle_beta 108.03
_cell_angle_gamma 90.00
loop_
_symmetry_equiv_pos_as_xyz
'x,y,z'
'-x,-y,-z'
'-x,y,-z'
'x,-y,z'
loop_
_atom_site_label
_atom_site_fract_x
_atom_site_fract_y
_atom_site_fract_z
_atom_site_occupancy
Na1 0.000 0.000 0.000 1
Na2 0.500 0.500 0.000 1
Ho1 0.000 0.500 0.500 1
Zr1 0.500 0.000 0.500 1
S1 0.252 0.000 0.728 1
S2 0.267 0.500 0.276 1
```

---

# AcTcP2Ru

AcTcP2Ru after structural relaxation (PBE, Alexandria).

Calculated values
energy: -0.2893 hartree per atom
calculated formation energy: -0.960 eV/atom

Geometry as CIF:
```
data_AcTcP2Ru
_chemical_formula_sum 'Ac2 Tc2 P4 Ru2'
_symmetry_space_group_name_H-M 'I -4 m 2'
_symmetry_Int_Tables_number 119
_symmetry_space_group_name_Hall 'I -4 -2'
_cell_length_a 4.143
_cell_length_b 4.143
_cell_length_c 11.063
_cell_angle_alpha 90.00
_cell_angle_beta 90.00
_cell_angle_gamma 90.00
loop_
_atom_site_label
_atom_site_fract_x
_atom_site_fract_y
_atom_site_fract_z
_atom_site_occupancy
Ac1 0.000 0.000 0.000 1
Tc1 0.000 0.500 0.750 1
P1 0.000 0.000 0.350 1
Ru1 0.000 0.500 0.250 1
```

---

# TaVRh2

TaVRh2 after structural relaxation (PBE, Alexandria).

Calculated values
energy: -0.3433 hartree per atom
E above lowest polymorph: 0.011 eV per atom
calculated formation energy: -0.424 eV/atom

Geometry as CIF:
```
data_TaVRh2
_chemical_formula_sum 'Ta1 V1 Rh2'
_symmetry_space_group_name_H-M 'P 4/m m m'
_symmetry_Int_Tables_number 123
_symmetry_space_group_name_Hall '-P 4 2'
_cell_length_a 2.832
_cell_length_b 2.832
_cell_length_c 7.403
_cell_angle_alpha 90.00
_cell_angle_beta 90.00
_cell_angle_gamma 90.00
loop_
_atom_site_label
_atom_site_fract_x
_atom_site_fract_y
_atom_site_fract_z
_atom_site_occupancy
Ta1 0.000 0.000 0.000 1
V1 0.000 0.000 0.500 1
Rh1 0.500 0.500 0.270 1
```

---

# RbLi

RbLi after structural relaxation (PBE, Alexandria).

Calculated values
energy: -0.0474 hartree per atom
calculated formation energy: 0.150 eV/atom

Geometry as CIF:
```
data_RbLi
_chemical_formula_sum 'Rb6 Li6'
_symmetry_space_group_name_H-M 'P m m n'
_symmetry_Int_Tables_number 59
_cell_length_a 4.377
_cell_length_b 13.128
_cell_length_c 10.921
_cell_angle_alpha 90.00
_cell_angle_beta 90.00
_cell_angle_gamma 90.00
loop_
_symmetry_equiv_pos_as_xyz
'x,y,z'
'-x,-y,-z'
'-x+1/2,-y+1/2,z'
'x+1/2,y+1/2,-z'
'x+1/2,-y,-z'
'-x+1/2,y,z'
'-x,y+1/2,-z'
'x,-y+1/2,z'
loop_
_atom_site_label
_atom_site_fract_x
_atom_site_fract_y
_atom_site_fract_z
_atom_site_occupancy
Rb1 0.250 0.083 0.195 1
Rb2 0.250 0.750 0.192 1
Li1 0.250 0.250 0.502 1
Li2 0.250 0.583 0.499 1
```

---

# TbGa3Cu4

TbGa3Cu4 after structural relaxation (PBE, Alexandria).

Calculated values
energy: -0.1461 hartree per atom
calculated formation energy: -0.214 eV/atom

Geometry as CIF:
```
data_TbGa3Cu4
_chemical_formula_sum 'Tb1 Ga3 Cu4'
_symmetry_space_group_name_H-M 'P 4/m m m'
_symmetry_Int_Tables_number 123
_symmetry_space_group_name_Hall '-P 4 2'
_cell_length_a 4.083
_cell_length_b 4.083
_cell_length_c 7.957
_cell_angle_alpha 90.00
_cell_angle_beta 90.00
_cell_angle_gamma 90.00
loop_
_atom_site_label
_atom_site_fract_x
_atom_site_fract_y
_atom_site_fract_z
_atom_site_occupancy
Tb1 0.000 0.000 0.000 1
Ga1 0.000 0.000 0.500 1
Ga2 0.500 0.500 0.157 1
Cu1 0.000 0.500 0.326 1
```

---

# Sc5Os4

Sc5Os4 after structural relaxation (PBE, Alexandria).

Calculated values
energy: -0.3149 hartree per atom
E above lowest polymorph: 0.104 eV per atom
calculated formation energy: -0.060 eV/atom

Geometry as CIF:
```
data_Sc5Os4
_chemical_formula_sum 'Sc10 Os8'
_symmetry_space_group_name_H-M 'I 4/m m m'
_symmetry_Int_Tables_number 139
_symmetry_space_group_name_Hall '-I 4 2'
_cell_length_a 8.571
_cell_length_b 8.571
_cell_length_c 4.359
_cell_angle_alpha 90.00
_cell_angle_beta 90.00
_cell_angle_gamma 90.00
loop_
_atom_site_label
_atom_site_fract_x
_atom_site_fract_y
_atom_site_fract_z
_atom_site_occupancy
Sc1 0.000 0.000 0.000 1
Sc2 0.175 0.175 0.500 1
Os1 0.000 0.350 0.000 1
```

---

# NpGe3Pd5

NpGe3Pd5 after structural relaxation (PBE, Alexandria).

Calculated values
energy: -0.2297 hartree per atom
calculated formation energy: -0.389 eV/atom

Geometry as CIF:
```
data_NpGe3Pd5
_chemical_formula_sum 'Np4 Ge12 Pd20'
_symmetry_space_group_name_H-M 'C m c m'
_symmetry_Int_Tables_number 63
_symmetry_space_group_name_Hall '-C 2c 2'
_cell_length_a 3.005
_cell_length_b 13.815
_cell_length_c 14.744
_cell_angle_alpha 90.00
_cell_angle_beta 90.00
_cell_angle_gamma 90.00
loop_
_atom_site_label
_atom_site_fract_x
_atom_site_fract_y
_atom_site_fract_z
_atom_site_occupancy
Np1 0.000 0.155 0.250 1
Ge1 0.000 0.145 0.750 1
Ge2 0.000 0.367 0.563 1
Pd1 0.000 0.000 0.000 1
Pd2 0.000 0.191 0.576 1
Pd3 0.000 0.473 0.159 1
```

---

# BaAcOs2O8

BaAcOs2O8 after structural relaxation (PBE, Alexandria).

Calculated values
energy: -0.2696 hartree per atom

Geometry as CIF:
```
data_BaAcOs2O8
_chemical_formula_sum 'Ba1 Ac1 Os2 O8'
_symmetry_space_group_name_H-M 'P -3 m 1'
_symmetry_Int_Tables_number 164
_symmetry_space_group_name_Hall '-P 3 2"'
_cell_length_a 6.0551
_cell_length_b 6.0551
_cell_length_c 7.9768
_cell_angle_alpha 90.00
_cell_angle_beta 90.00
_cell_angle_gamma 120.00
loop_
_atom_site_label
_atom_site_fract_x
_atom_site_fract_y
_atom_site_fract_z
_atom_site_occupancy
Ba1 0.0000 0.0000 0.0000 1
Ac1 0.0000 0.0000 0.5000 1
Os1 0.3333 0.6667 0.7983 1
O1 0.1683 0.3366 0.7174 1
O2 0.3333 0.6667 0.0235 1
```